Record 1
The following is a DFT calculation (PBE) of crystalline InH2AuF at its relaxed geometry.

a = 3.586 Å, b = 3.586 Å, c = 5.620 Å
α = 90.00°, β = 90.00°, γ = 90.00°
Space group P4/mmm (No. 123)
One atom of each set of equivalent atoms:
In 0.000 0.000 0.000
H 0.000 0.500 0.500
Au 0.000 0.000 0.500
F 0.500 0.500 0.000

Calculated values
total energy	-3.44	eV/atom
D(E_F)	0.66	states/eV per cell

=====

Record 2
The following is a DFT calculation (PBE) of crystalline KHAu2F8 at its relaxed geometry.

a = 6.636 Å, b = 5.611 Å, c = 10.442 Å
α = 90.00°, β = 96.15°, γ = 90.00°
Space group C2/m (No. 12)
One atom of each set of equivalent atoms:
K 0.000 0.000 0.000
H 0.000 0.500 0.500
Au 0.163 0.500 0.276
F 0.087 0.248 0.732
F 0.150 0.500 0.085
F 0.165 0.500 0.474

Calculated values
total energy	-3.54	eV/atom
D(E_F)	4.91	states/eV per cell

=====

Record 3
The following is a DFT calculation (PBE) of crystalline K6H2AuF3 at its relaxed geometry.

a = 18.037 Å, b = 4.013 Å, c = 8.299 Å
α = 90.00°, β = 104.59°, γ = 90.00°
Space group C2/m (No. 12)
One atom of each set of equivalent atoms:
K 0.010 0.000 0.213
K 0.167 0.500 0.082
K 0.180 0.500 0.587
H 0.171 0.000 0.840
Au 0.000 0.500 0.500
F 0.000 0.500 0.000
F 0.169 0.000 0.322

Calculated values
total energy	-3.28	eV/atom
D(E_F)	0.00	states/eV per cell

=====

Record 4
The following is a DFT calculation (PBE) of crystalline K2HAuF6 at its relaxed geometry.

a = 5.248 Å, b = 6.228 Å, c = 6.334 Å
α = 101.80°, β = 107.55°, γ = 110.41°
Space group P-1 (No. 2)
One atom of each set of equivalent atoms:
K 0.041 0.211 0.315
H 0.500 0.000 0.500
Au 0.500 0.500 0.000
F 0.089 0.264 0.916
F 0.369 0.603 0.727
F 0.392 0.085 0.604

Calculated values
total energy	-3.97	eV/atom
D(E_F)	0.00	states/eV per cell

=====

Record 5
The following is a DFT calculation (PBE) of crystalline LaH2AuF at its relaxed geometry.

a = 4.586 Å, b = 4.586 Å, c = 4.519 Å
α = 90.00°, β = 90.00°, γ = 90.00°
Space group P4/mmm (No. 123)
One atom of each set of equivalent atoms:
La 0.000 0.000 0.000
H 0.000 0.500 0.000
Au 0.500 0.500 0.500
F 0.000 0.000 0.500

Calculated values
total energy	-4.17	eV/atom
D(E_F)	2.18	states/eV per cell

=====

Record 6
The following is a DFT calculation (PBE) of crystalline H6AuN2F2 at its relaxed geometry.

a = 4.279 Å, b = 5.144 Å, c = 5.833 Å
α = 92.06°, β = 100.48°, γ = 108.34°
Space group P-1 (No. 2)
One atom of each set of equivalent atoms:
H 0.009 0.051 0.264
H 0.162 0.771 0.923
H 0.387 0.964 0.744
Au 0.000 0.500 0.500
N 0.151 0.832 0.755
F 0.211 0.797 0.243

Calculated values
total energy	-4.67	eV/atom
D(E_F)	0.68	states/eV per cell

=====

Record 7
The following is a DFT calculation (PBE) of crystalline NbH2AuF at its relaxed geometry.

a = 4.022 Å, b = 4.022 Å, c = 4.016 Å
α = 90.00°, β = 90.00°, γ = 90.00°
Space group P4/mmm (No. 123)
One atom of each set of equivalent atoms:
Nb 0.000 0.000 0.000
H 0.000 0.500 0.500
Au 0.500 0.500 0.000
F 0.500 0.500 0.500

Calculated values
total energy	-3.44	eV/atom
D(E_F)	2.98	states/eV per cell

=====

Record 8
The following is a DFT calculation (PBE) of crystalline HAuO2F at its relaxed geometry.

a = 4.149 Å, b = 4.149 Å, c = 2.601 Å
α = 90.00°, β = 90.00°, γ = 90.00°
Space group P4/mmm (No. 123)
One atom of each set of equivalent atoms:
H 0.000 0.000 0.000
Au 0.500 0.500 0.500
O 0.000 0.500 0.000
F 0.000 0.000 0.500

Calculated values
total energy	-3.17	eV/atom
D(E_F)	5.54	states/eV per cell

=====

Record 9
The following is a DFT calculation (PBE) of crystalline HAuO2F at its relaxed geometry.

a = 3.962 Å, b = 3.962 Å, c = 4.429 Å
α = 90.00°, β = 90.00°, γ = 90.00°
Space group P4/mmm (No. 123)
One atom of each set of equivalent atoms:
H 0.000 0.000 0.000
Au 0.500 0.500 0.500
O 0.000 0.500 0.500
F 0.500 0.500 0.000

Calculated values
total energy	-2.99	eV/atom
D(E_F)	5.27	states/eV per cell

=====

Record 10
The following is a DFT calculation (PBE) of crystalline HPtAuF2 at its relaxed geometry.

a = 3.991 Å, b = 3.991 Å, c = 5.460 Å
α = 90.00°, β = 90.00°, γ = 90.00°
Space group P4/mmm (No. 123)
One atom of each set of equivalent atoms:
H 0.000 0.000 0.000
Pt 0.500 0.500 0.500
Au 0.500 0.500 0.000
F 0.000 0.500 0.500

Calculated values
total energy	-3.18	eV/atom
D(E_F)	2.15	states/eV per cell

=====

Record 11
The following is a DFT calculation (PBE) of crystalline Rb4H2AuF at its relaxed geometry.

a = 7.616 Å, b = 4.394 Å, c = 7.918 Å
α = 90.00°, β = 110.06°, γ = 90.00°
Space group P2/m (No. 10)
One atom of each set of equivalent atoms:
Rb 0.233 0.000 0.257
Rb 0.246 0.500 0.697
H 0.000 0.000 0.500
H 0.000 0.500 0.000
Au 0.500 0.000 0.000
F 0.500 0.500 0.500

Calculated values
total energy	-2.73	eV/atom
D(E_F)	0.00	states/eV per cell

=====

Record 12
The following is a DFT calculation (PBE) of crystalline ReHAu2F at its relaxed geometry.

a = 4.946 Å, b = 4.946 Å, c = 3.892 Å
α = 90.00°, β = 90.00°, γ = 90.00°
Space group P4/mmm (No. 123)
One atom of each set of equivalent atoms:
Re 0.000 0.000 0.000
H 0.500 0.500 0.000
Au 0.000 0.500 0.500
F 0.000 0.000 0.500

Calculated values
total energy	-3.40	eV/atom
D(E_F)	3.38	states/eV per cell

=====

Record 13
The following is a DFT calculation (PBE) of crystalline H2RuAuF at its relaxed geometry.

a = 3.418 Å, b = 3.418 Å, c = 5.824 Å
α = 90.00°, β = 90.00°, γ = 90.00°
Space group P4/mmm (No. 123)
One atom of each set of equivalent atoms:
H 0.000 0.500 0.000
Ru 0.000 0.000 0.500
Au 0.500 0.500 0.000
F 0.500 0.500 0.500

Calculated values
total energy	-3.77	eV/atom
D(E_F)	5.16	states/eV per cell

=====

Record 14
The following is a DFT calculation (PBE) of crystalline TlH2AuF8 at its relaxed geometry.

a = 3.722 Å, b = 5.021 Å, c = 8.953 Å
α = 102.62°, β = 94.48°, γ = 109.47°
Space group P-1 (No. 2)
One atom of each set of equivalent atoms:
Tl 0.000 0.000 0.000
H 0.488 0.484 0.747
Au 0.000 0.000 0.500
F 0.167 0.258 0.719
F 0.250 0.337 0.230
F 0.291 0.769 0.558
F 0.364 0.756 0.036

Calculated values
total energy	-3.69	eV/atom
D(E_F)	1.12	states/eV per cell